Density functional theory data (PBE) for a relaxed Ce2Sm3ErTe6 crystal.

a = 4.4087 Å, b = 8.9446 Å, c = 9.9354 Å
α = 103.38°, β = 102.82°, γ = 90.00°
Each line ends with the local moment (μB).
Sites, in units of the cell vectors:
Ce: 0.1678 0.3367 0.3356  0.96
Te: 0.6627 0.0799 0.3254  -0.01
Ce: 0.8322 0.6633 0.6644  0.96
Sm: 0.8306 0.1655 0.6613  0.01
Te: 0.9984 0.2415 0.9968  0.00
Te: 0.3373 0.9201 0.6746  -0.01
Sm: 0.1694 0.8345 0.3387  0.01
Te: 0.0016 0.7585 0.0032  0.00
Er: 0.5000 0.0000 0.0000  0.04
Te: 0.6652 0.5864 0.3304  -0.01
Te: 0.3348 0.4136 0.6696  -0.01
Sm: 0.5000 0.5000 0.0000  0.02

## Properties
Total moment (μB per formula unit): 2.46
ΔE_f (raw) (eV/atom): -1.355